1.
DFT (PBE-GGA) results for a relaxed TaAsAu2Se crystal.

a = 4.7556 Å, b = 5.0543 Å, c = 4.7556 Å
α = 90.00°, β = 90.00°, γ = 90.00°
Closest atoms and distances in Å follow each position.
Positions (direct):
As 0.0000 0.0000 0.0000  4 Au 2.38, 2 Se 2.53
Au 0.0000 0.0000 0.5000  2 As 2.38
Au 0.5000 0.0000 0.0000  2 As 2.38
Se 0.0000 0.5000 0.0000  2 As 2.53
Ta 0.5000 0.5000 0.5000  4 Se 3.36, 8 Au 3.47

Calculated values
**Symmetry**: P4/mmm
**DOS(E_F)**: 1.104 states/eV per atom
**ρ**: 10.587 g/cm3
**Magnetization**: 0.00 μB/f.u.
**Raw formation energy**: 534 kJ/mol of formula units
**Calculated volume**: 22.86 A^3/atom

2.
DFT (PBE-GGA) results for a relaxed Ho3TmHg2 crystal.

a = 5.0942 Å, b = 6.9693 Å, c = 9.1736 Å
α = 90.00°, β = 90.00°, γ = 90.00°
Closest atoms and distances in Å follow each position.
Positions (direct):
Ho 0.0000 0.4849 0.9468  3 Hg 3.12-3.21, 1 Ho 3.46
Ho 0.0000 0.9849 0.0532  3 Hg 3.12-3.21, 1 Ho 3.46
Ho 0.5000 0.6720 0.1755  4 Hg 3.02-3.07
Ho 0.5000 0.1720 0.8245  4 Hg 3.02-3.07
Ho 0.0000 0.3276 0.3267  4 Hg 3.00-3.08
Ho 0.0000 0.8276 0.6733  4 Hg 3.00-3.08
Tm 0.5000 0.5155 0.5534  3 Hg 3.12-3.21, 1 Ho 3.45
Tm 0.5000 0.0155 0.4466  3 Hg 3.12-3.21, 1 Ho 3.45
Hg 0.5000 0.7353 0.8494  6 Ho 3.02-3.21, 1 Tm 3.12
Hg 0.5000 0.2353 0.1506  6 Ho 3.02-3.21, 1 Tm 3.12
Hg 0.0000 0.2648 0.6504  5 Ho 3.00-3.12, 2 Tm 3.21
Hg 0.0000 0.7648 0.3496  5 Ho 3.00-3.12, 2 Tm 3.21

Calculated values
**Symmetry**: Pmc2_1
**Energy**: -3.498 eV/atom
**DOS(E_F)**: 0.348 states/eV per atom
**ρ**: 10.859 g/cm3
**Magnetization**: 0.00 μB/f.u.
**Calculated volume**: 27.14 A^3/atom

3.
DFT (PBE-GGA) results for a relaxed Li5Mg2Zn4 crystal.

a = 5.1963 Å, b = 6.6512 Å, c = 6.6272 Å
α = 72.42°, β = 66.92°, γ = 67.01°
Closest atoms and distances in Å follow each position.
Positions (direct):
Li 0.2524 0.1819 0.8188  4 Li 2.57-2.85, 2 Zn 2.74
Li 0.7476 0.8181 0.1812  4 Li 2.57-2.85, 2 Zn 2.74
Li 0.0000 0.5000 0.5000  4 Zn 2.61-2.62, 4 Li 2.82
Li 0.7469 0.1819 0.8188  4 Li 2.57-2.85, 2 Zn 2.74
Li 0.2531 0.8181 0.1812  4 Li 2.57-2.85, 2 Zn 2.74
Mg 0.3165 0.6844 0.6826  6 Zn 2.72-2.96
Mg 0.6835 0.3156 0.3174  6 Zn 2.72-2.96
Zn 0.2426 0.0938 0.4211  1 Zn 2.58, 3 Li 2.62-2.74, 1 Mg 2.72
Zn 0.7574 0.9062 0.5789  1 Zn 2.58, 3 Li 2.62-2.74, 1 Mg 2.72
Zn 0.7579 0.5771 0.9071  1 Zn 2.58, 5 Li 2.61-2.89, 1 Mg 2.72
Zn 0.2421 0.4229 0.0929  1 Zn 2.58, 5 Li 2.61-2.89, 1 Mg 2.72

Calculated values
**Symmetry**: C2/m
**Energy**: -1.713 eV/atom
**DOS(E_F)**: 0.318 states/eV per atom
**ρ**: 3.000 g/cm3
**Magnetization**: 0.00 μB/f.u.
**Calculated volume**: 17.36 A^3/atom

4.
DFT (PBE-GGA) results for a relaxed Rb2TaTlS4 crystal.

a = 7.1810 Å, b = 7.1810 Å, c = 7.1810 Å
α = 107.00°, β = 110.72°, γ = 110.72°
Closest atoms and distances in Å follow each position.
Positions (direct):
Rb 0.5000 0.7500 0.2500  4 S 3.26
Rb 0.0000 0.0000 0.0000  4 S 3.52
Ta 0.0000 0.5000 0.5000  4 S 2.29
Tl 0.5000 0.2500 0.7500  4 S 3.07
S 0.6732 0.4799 0.4977  1 Ta 2.29
S 0.0177 0.1933 0.5201  1 Ta 2.29
S 0.9823 0.5023 0.1756  1 Ta 2.29
S 0.3268 0.8244 0.8067  1 Ta 2.29

Calculated values
**Symmetry**: I-4
**DOS(E_F)**: 0.000 states/eV per atom
**ρ**: 3.993 g/cm3
**Magnetization**: 0.00 μB/f.u.
**Raw formation energy**: -799 kJ/mol of formula units
**Calculated volume**: 35.58 A^3/atom

5.
DFT (PBE-GGA) results for a relaxed Nd4SnIr2 crystal.

a = 4.8028 Å, b = 4.8028 Å, c = 10.3650 Å
α = 76.60°, β = 76.60°, γ = 60.00°
Closest atoms and distances in Å follow each position.
Positions (direct):
Nd 0.3865 0.3865 0.8405  3 Ir 3.09, 3 Sn 3.20
Nd 0.2023 0.2023 0.3931  4 Ir 2.94-3.11
Nd 0.7977 0.7977 0.6069  4 Ir 2.94-3.11
Nd 0.6135 0.6135 0.1595  3 Ir 3.09, 3 Sn 3.20
Sn 0.0000 0.0000 0.0000  2 Ir 2.95, 6 Nd 3.20
Ir 0.0984 0.0984 0.7049  7 Nd 2.94-3.11, 1 Sn 2.95
Ir 0.9016 0.9016 0.2951  7 Nd 2.94-3.11, 1 Sn 2.95

Calculated values
**Symmetry**: R-3m
**Energy**: -6.421 eV/atom
**DOS(E_F)**: 0.397 states/eV per atom
**ρ**: 8.990 g/cm3
**Magnetization**: 0.00 μB/f.u.
**Calculated volume**: 28.50 A^3/atom

6.
DFT (PBE-GGA) results for a relaxed AlCdTe2S6 crystal.

a = 5.9259 Å, b = 10.3531 Å, c = 10.3531 Å
α = 66.76°, β = 73.26°, γ = 73.26°
Closest atoms and distances in Å follow each position.
Positions (direct):
Al 0.2500 0.2368 0.7632  4 S 2.24-2.30
Al 0.7500 0.7632 0.2368  4 S 2.24-2.30
Cd 0.2500 0.9416 0.0584  4 S 2.51-2.75
Cd 0.7500 0.0584 0.9416  4 S 2.51-2.75
Te 0.3395 0.8136 0.5860  2 S 2.37
Te 0.1605 0.4140 0.1864  2 S 2.37
Te 0.6605 0.1864 0.4140  2 S 2.37
Te 0.8395 0.5860 0.8136  2 S 2.37
S 0.1606 0.0311 0.7871  1 Al 2.24, 1 Cd 2.51
S 0.3394 0.2129 0.9689  1 Al 2.24, 1 Cd 2.51
S 0.8394 0.9689 0.2129  1 Al 2.24, 1 Cd 2.51
S 0.6606 0.7871 0.0311  1 Al 2.24, 1 Cd 2.51
S 0.4221 0.7004 0.4132  1 Al 2.30, 1 Te 2.37
S 0.0779 0.5868 0.2996  1 Al 2.30, 1 Te 2.37
S 0.5779 0.2996 0.5868  1 Al 2.30, 1 Te 2.37
S 0.9221 0.4132 0.7004  1 Al 2.30, 1 Te 2.37
S 0.8302 0.8025 0.6144  1 Te 2.37
S 0.6698 0.3856 0.1975  1 Te 2.37
S 0.1698 0.1975 0.3856  1 Te 2.37
S 0.3302 0.6144 0.8025  1 Te 2.37

Calculated values
**Symmetry**: C2/c
**DOS(E_F)**: 0.148 states/eV per atom
**ρ**: 3.558 g/cm3
**Magnetization**: 0.00 μB/f.u.
**Raw formation energy**: -251 kJ/mol of formula units
**Calculated volume**: 27.39 A^3/atom

7.
DFT (PBE-GGA) results for a relaxed ZrFe2 crystal.

a = 6.0044 Å, b = 6.0044 Å, c = 6.0044 Å
α = 90.00°, β = 90.00°, γ = 90.00°
Closest atoms and distances in Å follow each position.
Positions (direct):
Fe 0.1079 0.6079 0.8921  1 Fe 2.24
Fe 0.1079 0.8921 0.3921  1 Fe 2.24
Fe 0.3921 0.1079 0.8921  1 Fe 2.24
Fe 0.3921 0.3921 0.3921  1 Fe 2.24
Fe 0.6079 0.6079 0.6079  1 Fe 2.24
Fe 0.6079 0.8921 0.1079  1 Fe 2.24
Fe 0.8921 0.1079 0.6079  1 Fe 2.24
Fe 0.8921 0.3921 0.1079  1 Fe 2.24
Zr 0.0000 0.0000 0.0000  6 Fe 2.53
Zr 0.0000 0.5000 0.5000  6 Fe 2.53
Zr 0.5000 0.0000 0.5000  6 Fe 2.53
Zr 0.5000 0.5000 0.0000  6 Fe 2.53

Calculated values
**Symmetry**: Pa-3
**Energy**: -7.461 eV/atom
**DOS(E_F)**: 1.009 states/eV per atom
**ρ**: 6.226 g/cm3
**Magnetization**: 3.73 μB/f.u.
**Calculated volume**: 18.04 A^3/atom

8.
DFT (PBE-GGA) results for a relaxed Ca3Tl7Ag2 crystal.

a = 3.9437 Å, b = 5.2235 Å, c = 16.8944 Å
α = 101.61°, β = 90.00°, γ = 90.00°
Closest atoms and distances in Å follow each position.
Positions (direct):
Ca 0.5000 0.5000 0.0000  8 Tl 3.26-3.27
Ca 0.0000 0.1646 0.3610  4 Ag 3.47-3.51, 8 Tl 3.57-3.64
Ca 0.0000 0.8354 0.6390  4 Ag 3.47-3.51, 8 Tl 3.57-3.64
Tl 0.5000 0.7216 0.4554  1 Ag 2.77, 2 Tl 2.99-3.01
Tl 0.5000 0.2784 0.5446  1 Ag 2.77, 2 Tl 2.99-3.01
Tl 0.0000 0.5614 0.1565  2 Ag 2.94, 2 Ca 3.26, 2 Tl 3.27
Tl 0.0000 0.0000 0.0000  4 Ca 3.27, 6 Tl 3.53-3.60
Tl 0.0000 0.4386 0.8435  2 Ag 2.94, 2 Ca 3.26, 2 Tl 3.27
Tl 0.5000 0.9301 0.8190  2 Ag 3.08-3.23, 4 Tl 3.27-3.33
Tl 0.5000 0.0699 0.1810  2 Ag 3.08-3.23, 4 Tl 3.27-3.33
Ag 0.5000 0.6229 0.2881  4 Tl 2.77-3.08
Ag 0.5000 0.3771 0.7119  4 Tl 2.77-3.08

Calculated values
**Symmetry**: P2/m
**Energy**: -2.518 eV/atom
**DOS(E_F)**: 0.473 states/eV per atom
**ρ**: 8.606 g/cm3
**Magnetization**: 0.00 μB/f.u.
**Calculated volume**: 28.41 A^3/atom

9.
DFT (PBE-GGA) results for a relaxed Ba2TaRh3O12 crystal.

a = 7.2837 Å, b = 7.2837 Å, c = 7.2837 Å
α = 58.26°, β = 58.26°, γ = 58.26°
Closest atoms and distances in Å follow each position.
Positions (direct):
Ba 0.6203 0.6203 0.6203  6 O 2.99-3.05
Ba 0.3797 0.3797 0.3797  6 O 2.99-3.05
Ta 0.0000 0.0000 0.0000  6 O 1.99
Rh 0.5000 0.0000 0.0000  6 O 1.93-2.00
Rh 0.0000 0.5000 0.0000  6 O 1.93-2.00
Rh 0.0000 0.0000 0.5000  6 O 1.93-2.00
O 0.3259 0.3259 0.9116  2 Rh 1.93
O 0.9199 0.9199 0.3335  1 Ta 1.99, 1 Rh 2.00
O 0.3335 0.9199 0.9199  1 Ta 1.99, 1 Rh 2.00
O 0.9116 0.3259 0.3259  2 Rh 1.93
O 0.9199 0.3335 0.9199  1 Ta 1.99, 1 Rh 2.00
O 0.3259 0.9116 0.3259  2 Rh 1.93
O 0.6741 0.6741 0.0884  2 Rh 1.93
O 0.0801 0.0801 0.6665  1 Ta 1.99, 1 Rh 2.00
O 0.6665 0.0801 0.0801  1 Ta 1.99, 1 Rh 2.00
O 0.0884 0.6741 0.6741  2 Rh 1.93
O 0.0801 0.6665 0.0801  1 Ta 1.99, 1 Rh 2.00
O 0.6741 0.0884 0.6741  2 Rh 1.93

Calculated values
**Symmetry**: R-3m
**DOS(E_F)**: 0.893 states/eV per atom
**ρ**: 6.053 g/cm3
**Magnetization**: 0.58 μB/f.u.
**Raw formation energy**: -2594 kJ/mol of formula units
**Calculated volume**: 14.57 A^3/atom

10.
DFT (PBE-GGA) results for a relaxed K3ScB crystal.

a = 6.0694 Å, b = 6.0694 Å, c = 6.0694 Å
α = 90.00°, β = 90.00°, γ = 90.00°
Closest atoms and distances in Å follow each position.
Positions (direct):
Sc 0.5000 0.5000 0.5000  12 K 4.29
K 0.0000 0.5000 0.0000  2 B 3.03
K 0.0000 0.0000 0.5000  2 B 3.03
K 0.5000 0.0000 0.0000  2 B 3.03
B 0.0000 0.0000 0.0000  6 K 3.03

Calculated values
**Symmetry**: Pm-3m
**Energy**: -1.984 eV/atom
**DOS(E_F)**: 2.009 states/eV per atom
**ρ**: 1.285 g/cm3
**Magnetization**: 1.49 μB/f.u.
**Calculated volume**: 44.72 A^3/atom

11.
DFT (PBE-GGA) results for a relaxed AgRu2Au crystal.

a = 4.8523 Å, b = 4.8523 Å, c = 4.8523 Å
α = 131.58°, β = 131.58°, γ = 70.89°
Closest atoms and distances in Å follow each position.
Positions (direct):
Ag 0.5000 0.5000 0.0000  4 Au 2.80, 8 Ru 2.80-2.81
Au 0.7500 0.2500 0.5000  8 Ru 2.80-2.81, 4 Ag 2.80
Ru 0.0000 0.0000 0.0000  4 Ru 2.80, 4 Au 2.80, 4 Ag 2.81
Ru 0.2500 0.7500 0.5000  4 Ru 2.80, 4 Ag 2.80, 4 Au 2.81

Calculated values
**Symmetry**: I-4m2
**Energy**: -5.670 eV/atom
**DOS(E_F)**: 1.223 states/eV per atom
**ρ**: 13.448 g/cm3
**Magnetization**: 0.00 μB/f.u.
**Calculated volume**: 15.65 A^3/atom

12.
DFT (PBE-GGA) results for a relaxed TbSmBeNi crystal.

a = 4.8669 Å, b = 4.8669 Å, c = 4.8669 Å
α = 60.00°, β = 60.00°, γ = 60.00°
Closest atoms and distances in Å follow each position.
Positions (direct):
Ni 0.5000 0.5000 0.5000  4 Tb 2.98, 4 Sm 2.98
Tb 0.7500 0.7500 0.7500  4 Be 2.98, 4 Ni 2.98
Sm 0.2500 0.2500 0.2500  4 Ni 2.98, 4 Be 2.98
Be 0.0000 0.0000 0.0000  4 Sm 2.98, 4 Tb 2.98

Calculated values
**Symmetry**: F-43m
**Energy**: -4.793 eV/atom
**DOS(E_F)**: 0.672 states/eV per atom
**ρ**: 7.679 g/cm3
**Magnetization**: 0.00 μB/f.u.
**Calculated volume**: 20.38 A^3/atom